[1]
# PBE-GGA Sm8Te3P3N, optimized geometry
data_Sm8Te3P3N
_chemical_formula_sum 'Sm16 Te6 P6 N2'
_cell_length_a 14.184
_cell_length_b 8.197
_cell_length_c 8.666
_cell_angle_alpha 90.00
_cell_angle_beta 123.03
_cell_angle_gamma 90.00
_space_group_name_H-M_alt 'C 1 2/m 1'
_space_group_IT_number 12
_space_group_name_Hall '-C 2y'
loop_
_atom_site_label
_atom_site_type_symbol
_atom_site_fract_x
_atom_site_fract_y
_atom_site_fract_z
_atom_site_occupancy
Sm1 Sm 0.011 0.227 0.306 1
Sm2 Sm 0.216 0.000 0.694 1
Sm3 Sm 0.236 0.500 0.708 1
Te1 Te 0.000 0.000 0.000 1
Te2 Te 0.250 0.250 0.000 1
P1 P 0.000 0.500 0.500 1
P2 P 0.250 0.250 0.500 1
N1 N 0.000 0.000 0.500 1
# Uncorrected formation energy in eV per atom: -1.37
# Calculated volume in Å³ per cell: 844.7


[2]
# PBE-GGA SmThPN, optimized geometry
data_SmThPN
_chemical_formula_sum 'Sm2 Th2 P2 N2'
_cell_length_a 4.369
_cell_length_b 4.369
_cell_length_c 9.243
_cell_angle_alpha 90.00
_cell_angle_beta 90.00
_cell_angle_gamma 90.00
_space_group_name_H-M_alt 'P 4/n m m'
_space_group_IT_number 129
loop_
_space_group_symop_operation_xyz
'x,y,z'
'-x,-y,-z'
'-y+1/2,x,z'
'y+1/2,-x,-z'
'-x+1/2,-y+1/2,z'
'x+1/2,y+1/2,-z'
'y,-x+1/2,z'
'-y,x+1/2,-z'
'x+1/2,-y,-z'
'-x+1/2,y,z'
'-y,-x,-z'
'y,x,z'
'-x,y+1/2,-z'
'x,-y+1/2,z'
'y+1/2,x+1/2,-z'
'-y+1/2,-x+1/2,z'
loop_
_atom_site_label
_atom_site_type_symbol
_atom_site_fract_x
_atom_site_fract_y
_atom_site_fract_z
_atom_site_occupancy
Sm1 Sm 0.250 0.750 0.000 1
Th1 Th 0.250 0.250 0.390 1
P1 P 0.250 0.250 0.804 1
N1 N 0.250 0.750 0.500 1
# Uncorrected formation energy in eV per atom: -1.19
# Calculated volume in Å³ per cell: 176.4


[3]
# PBE-GGA Sm2ThPN5, optimized geometry
data_Sm2ThPN5
_chemical_formula_sum 'Sm8 Th4 P4 N20'
_cell_length_a 6.636
_cell_length_b 6.636
_cell_length_c 10.780
_cell_angle_alpha 90.00
_cell_angle_beta 90.00
_cell_angle_gamma 90.00
_space_group_name_H-M_alt 'I 4/m c m'
_space_group_IT_number 140
_space_group_name_Hall '-I 4 2c'
loop_
_atom_site_label
_atom_site_type_symbol
_atom_site_fract_x
_atom_site_fract_y
_atom_site_fract_z
_atom_site_occupancy
Sm1 Sm 0.176 0.324 0.000 1
Th1 Th 0.000 0.000 0.250 1
P1 P 0.000 0.500 0.250 1
N1 N 0.000 0.000 0.000 1
N2 N 0.138 0.362 0.345 1
# Uncorrected formation energy in eV per atom: -1.36
# Calculated volume in Å³ per cell: 474.7


[4]
# PBE-GGA Sm2TlP2N6, optimized geometry
data_Sm2TlP2N6
_chemical_formula_sum 'Sm2 Tl1 P2 N6'
_cell_length_a 6.491
_cell_length_b 6.494
_cell_length_c 6.583
_cell_angle_alpha 116.21
_cell_angle_beta 90.07
_cell_angle_gamma 119.93
_space_group_name_H-M_alt 'P -1'
_space_group_IT_number 2
_space_group_name_Hall '-P 1'
loop_
_atom_site_label
_atom_site_type_symbol
_atom_site_fract_x
_atom_site_fract_y
_atom_site_fract_z
_atom_site_occupancy
Sm1 Sm 0.177 0.353 0.303 1
Tl1 Tl 0.500 0.000 0.000 1
P1 P 0.157 0.312 0.746 1
N1 N 0.000 0.402 0.668 1
N2 N 0.071 0.140 0.873 1
N3 N 0.402 0.400 0.667 1
# Uncorrected formation energy in eV per atom: -0.54
# Calculated volume in Å³ per cell: 206.8


[5]
# PBE-GGA Sm2ZnP2N6, optimized geometry
data_Sm2ZnP2N6
_chemical_formula_sum 'Sm2 Zn1 P2 N6'
_cell_length_a 5.5840
_cell_length_b 5.5840
_cell_length_c 6.0646
_cell_angle_alpha 90.00
_cell_angle_beta 90.00
_cell_angle_gamma 120.00
_space_group_name_H-M_alt 'P -3'
_space_group_IT_number 147
_space_group_name_Hall '-P 3'
loop_
_atom_site_label
_atom_site_type_symbol
_atom_site_fract_x
_atom_site_fract_y
_atom_site_fract_z
_atom_site_occupancy
Sm1 Sm 0.3333 0.6667 0.3183 1
Zn1 Zn 0.0000 0.0000 0.0000 1
P1 P 0.3333 0.6667 0.7964 1
N1 N 0.0807 0.3590 0.7787 1
# Uncorrected formation energy in eV per atom: -0.43
# Calculated volume in Å³ per cell: 163.8


[6]
# PBE-GGA SmZn2PN4, optimized geometry
data_SmZn2PN4
_chemical_formula_sum 'Sm2 Zn4 P2 N8'
_cell_length_a 5.187
_cell_length_b 5.187
_cell_length_c 7.006
_cell_angle_alpha 90.00
_cell_angle_beta 90.00
_cell_angle_gamma 90.00
_space_group_name_H-M_alt 'I -4 2 m'
_space_group_IT_number 121
_space_group_name_Hall 'I -4 2'
loop_
_atom_site_label
_atom_site_type_symbol
_atom_site_fract_x
_atom_site_fract_y
_atom_site_fract_z
_atom_site_occupancy
Sm1 Sm 0.000 0.000 0.000 1
Zn1 Zn 0.000 0.500 0.250 1
P1 P 0.000 0.000 0.500 1
N1 N 0.189 0.189 0.368 1
# Uncorrected formation energy in eV per atom: -0.69
# Calculated volume in Å³ per cell: 188.5


[7]
# PBE-GGA SnP2N, optimized geometry
data_SnP2N
_chemical_formula_sum 'Sn4 P8 N4'
_cell_length_a 6.315
_cell_length_b 6.315
_cell_length_c 6.315
_cell_angle_alpha 90.00
_cell_angle_beta 90.00
_cell_angle_gamma 90.00
_space_group_name_H-M_alt 'F m -3 m'
_space_group_IT_number 225
_space_group_name_Hall '-F 4 2 3'
loop_
_atom_site_label
_atom_site_type_symbol
_atom_site_fract_x
_atom_site_fract_y
_atom_site_fract_z
_atom_site_occupancy
Sn1 Sn 0.000 0.000 0.000 1
P1 P 0.250 0.250 0.250 1
N1 N 0.000 0.000 0.500 1
# Uncorrected formation energy in eV per atom: 1.47
# Calculated volume in Å³ per cell: 251.9


[8]
# PBE-GGA SnPN2, optimized geometry
data_SnPN2
_chemical_formula_sum 'Sn4 P4 N8'
_cell_length_a 5.729
_cell_length_b 5.729
_cell_length_c 5.729
_cell_angle_alpha 90.00
_cell_angle_beta 90.00
_cell_angle_gamma 90.00
_space_group_name_H-M_alt 'F m -3 m'
_space_group_IT_number 225
_space_group_name_Hall '-F 4 2 3'
loop_
_atom_site_label
_atom_site_type_symbol
_atom_site_fract_x
_atom_site_fract_y
_atom_site_fract_z
_atom_site_occupancy
Sn1 Sn 0.000 0.000 0.000 1
P1 P 0.000 0.000 0.500 1
N1 N 0.250 0.250 0.250 1
# Uncorrected formation energy in eV per atom: 1.54
# Calculated volume in Å³ per cell: 188.0